Record 1
Below is an optimized crystal structure of KBaBr2O, with properties calculated at the PBE level.

a = 6.425 Å, b = 6.425 Å, c = 4.499 Å
α = 90.00°, β = 90.00°, γ = 90.00°
Sites, in units of the cell vectors:
K: 0.000 0.000 0.000
Ba: 0.500 0.500 0.500
Br: 0.000 0.500 0.500
Br: 0.500 0.000 0.500
O: 0.500 0.500 0.000

**Raw total energy**: -3.792 eV per atom
**Formation energy without anion corrections**: -1526.9 meV/atom
**Size of the total moment**: 0.00 μB/cell
**Calculated density**: 3.15 g/cm3



Record 2
Below is an optimized crystal structure of KBaBrO, with properties calculated at the PBE level.

a = 8.360 Å, b = 8.360 Å, c = 8.360 Å
α = 28.16°, β = 28.16°, γ = 28.16°
Sites, in units of the cell vectors:
K: 0.000 0.000 0.000
Ba: 0.136 0.136 0.136
Br: 0.575 0.575 0.575
O: 0.422 0.422 0.422

**Raw total energy**: -4.334 eV per atom
**Formation energy without anion corrections**: -1921.5 meV/atom
**Size of the total moment**: 0.03 μB/cell
**Calculated density**: 3.93 g/cm3



Q: Among the records above, which one has the highest raw total energy?
A: KBaBr2O